# 1
Density functional theory data (GGA-PBE) for a relaxed structure of PrSn2PdPt4.

```
data_PrSn2PdPt4
_chemical_formula_sum 'Pr3 Sn6 Pd3 Pt12'
_symmetry_space_group_name_H-M 'R -3 m'
_symmetry_Int_Tables_number 166
_symmetry_space_group_name_Hall '-R 3 2"'
_cell_length_a 4.5051
_cell_length_b 4.5051
_cell_length_c 26.9145
_cell_angle_alpha 90.00
_cell_angle_beta 90.00
_cell_angle_gamma 120.00
loop_
_atom_site_label
_atom_site_type_symbol
_atom_site_fract_x
_atom_site_fract_y
_atom_site_fract_z
_atom_site_occupancy
Pr1 Pr 0.0000 0.0000 0.0000 1
Sn1 Sn 0.0000 0.0000 0.2371 1
Pd1 Pd 0.0000 0.0000 0.5000 1
Pt1 Pt 0.0000 0.0000 0.1292 1
Pt2 Pt 0.0000 0.0000 0.3984 1
```

Output
Mass density ... 13.3 g cm⁻³
Total energy ... -5.87 eV per atom
M_tot ... 0.0 μB/f.u.


# 2
Density functional theory data (GGA-PBE) for a relaxed structure of LaIn2Se.

```
data_LaIn2Se
_chemical_formula_sum 'La3 In6 Se3'
_symmetry_space_group_name_H-M 'R 3 m'
_symmetry_Int_Tables_number 160
_symmetry_space_group_name_Hall 'R 3 -2"'
_cell_length_a 4.3211
_cell_length_b 4.3211
_cell_length_c 24.6204
_cell_angle_alpha 90.00
_cell_angle_beta 90.00
_cell_angle_gamma 120.00
loop_
_atom_site_label
_atom_site_type_symbol
_atom_site_fract_x
_atom_site_fract_y
_atom_site_fract_z
_atom_site_occupancy
La1 La 0.0000 0.0000 0.0000 1
In1 In 0.0000 0.0000 0.2339 1
In2 In 0.0000 0.0000 0.4986 1
Se1 Se 0.0000 0.0000 0.7282 1
```

Output
Mass density ... 5.6 g cm⁻³
M_tot ... 0.0 μB/f.u.
Formation energy from raw total energies ... -0.606 eV per atom


# 3
Density functional theory data (GGA-PBE) for a relaxed structure of YAl7Ni5.

```
data_YAl7Ni5
_chemical_formula_sum 'Y2 Al14 Ni10'
_symmetry_space_group_name_H-M 'I m m 2'
_symmetry_Int_Tables_number 44
_symmetry_space_group_name_Hall 'I 2 -2'
_cell_length_a 4.999
_cell_length_b 8.658
_cell_length_c 8.486
_cell_angle_alpha 90.00
_cell_angle_beta 90.00
_cell_angle_gamma 90.00
loop_
_atom_site_label
_atom_site_type_symbol
_atom_site_fract_x
_atom_site_fract_y
_atom_site_fract_z
_atom_site_occupancy
Y1 Y 0.000 0.000 0.000 1
Al1 Al 0.000 0.000 0.337 1
Al2 Al 0.000 0.000 0.649 1
Al3 Al 0.000 0.292 0.507 1
Al4 Al 0.000 0.345 0.981 1
Al5 Al 0.000 0.500 0.269 1
Ni1 Ni 0.000 0.500 0.726 1
Ni2 Ni 0.248 0.259 0.248 1
```

Output
Mass density ... 5.2 g cm⁻³
Total energy ... -5.33 eV per atom
M_tot ... 0.0 μB/f.u.


# 4
Density functional theory data (GGA-PBE) for a relaxed structure of Rb12ClO5.

```
data_Rb12ClO5
_chemical_formula_sum 'Rb24 Cl2 O10'
_symmetry_space_group_name_H-M 'C 1 2/m 1'
_symmetry_Int_Tables_number 12
_symmetry_space_group_name_Hall '-C 2y'
_cell_length_a 7.487
_cell_length_b 12.990
_cell_length_c 15.684
_cell_angle_alpha 90.00
_cell_angle_beta 90.08
_cell_angle_gamma 90.00
loop_
_atom_site_label
_atom_site_type_symbol
_atom_site_fract_x
_atom_site_fract_y
_atom_site_fract_z
_atom_site_occupancy
Rb1 Rb 0.118 0.000 0.404 1
Rb2 Rb 0.166 0.500 0.083 1
Rb3 Rb 0.167 0.167 0.083 1
Rb4 Rb 0.191 0.309 0.404 1
Cl1 Cl 0.000 0.500 0.500 1
O1 O 0.000 0.000 0.000 1
O2 O 0.000 0.167 0.500 1
O3 O 0.000 0.333 0.000 1
```

Output
Mass density ... 2.5 g cm⁻³
M_tot ... 0.3 μB/f.u.
Formation energy from raw total energies ... -0.973 eV per atom